Entry 1:
K4RePt, optimized geometry, DFT PBE; space group = F-43m; energy relative to the elements = 1.441 eV/atom; crystal system = cubic
1.0
0.0000 4.5858 4.5858
4.5858 0.0000 4.5858
4.5858 4.5858 0.0000
K Re Pt
4 1 1
direct
0.8708 0.3764 0.3764
0.3764 0.3764 0.8708
0.3764 0.8708 0.3764
0.3764 0.3764 0.3764
0.0000 0.0000 0.0000
0.7500 0.7500 0.7500



Entry 2:
NaAs2P2, optimized geometry, DFT PBE; polymorph energy (0 for the lowest one) = 0.62 kcal/mol of atoms; space group = I4/mmm; energy relative to the elements = 0.073 eV/atom; crystal system = tetragonal
1.0
4.7812 0.0000 0.0000
0.0000 4.7812 0.0000
2.3906 2.3906 4.7774
P As Na
2 2 1
direct
0.3337 0.3337 0.3327
0.6663 0.6663 0.6673
0.7500 0.2500 0.5000
0.2500 0.7500 0.5000
0.0000 0.0000 0.0000



Entry 3:
K2Na8Sr, optimized geometry, DFT PBE; space group = C2/m; energy relative to the elements = 0.056 eV/atom; crystal system = monoclinic
1.0
-1.5994 4.1088 -5.2709
0.1740 -5.5609 -4.3878
-9.8682 -4.4536 -0.4681
K Na Sr
2 8 1
direct
0.5003 0.3065 0.3871
0.4997 0.6935 0.6129
0.0002 0.5913 0.3285
0.0002 0.0801 0.3285
0.9998 0.4087 0.6715
0.2522 0.5000 0.0000
0.9998 0.9199 0.6715
0.4998 0.0934 0.8132
0.5002 0.9066 0.1868
0.7478 0.5000 0.0000
0.0000 0.0000 0.0000



Entry 4:
BaYCo, optimized geometry, DFT PBE; polymorph energy (0 for the lowest one) = 0.84 kcal/mol of atoms; space group = P3m1; energy relative to the elements = 0.244 eV/atom; crystal system = trigonal
1.0
-0.2406 0.3986 -4.0498
-1.0629 -3.5156 1.7688
-6.4186 2.2435 0.6021
Ba Co Y
1 1 1
direct
0.0000 0.0000 0.0849
0.6667 0.3333 0.3643
0.3333 0.6667 0.5507



Entry 5:
Nb2CrNi, optimized geometry, DFT PBE; polymorph energy (0 for the lowest one) = 11.69 kcal/mol of atoms; space group = I-42d; energy relative to the elements = 0.477 eV/atom; crystal system = tetragonal
1.0
-2.9819 -5.3115 -3.1991
-2.1464 -2.4461 6.0620
-4.8175 -2.4745 1.2002
Ni Nb Cr
2 4 2
direct
0.0000 0.0000 0.0000
0.7500 0.2500 0.5000
0.6310 0.1250 0.2500
0.1190 0.6250 0.2500
0.3750 0.3690 0.7500
0.8750 0.8810 0.7500
0.5000 0.5000 0.0000
0.2500 0.7500 0.5000



Entry 6:
K4VP2S9, optimized geometry, DFT PBE; space group = Pna2_1; crystal system = orthorhombic; ΔE_f (raw) = -14.449 eV per formula unit
1.0
6.8978 0.0000 0.0000
0.0000 13.1007 0.0000
0.0000 0.0000 19.5856
K V P S
16 4 8 36
direct
0.7464 0.3276 0.5692
0.2534 0.3758 0.8195
0.7466 0.8758 0.1805
0.7423 0.0324 0.4659
0.2466 0.3758 0.3195
0.2536 0.8276 0.4308
0.2534 0.6706 0.2164
0.7534 0.1706 0.2836
0.2577 0.5324 0.5341
0.2464 0.8276 0.9308
0.2423 0.5324 0.0341
0.2466 0.6706 0.7164
0.7534 0.8758 0.6805
0.7466 0.1706 0.7836
0.7577 0.0324 0.9659
0.7536 0.3276 0.0692
0.1377 0.1015 0.1250
0.6377 0.6015 0.3750
0.8623 0.6015 0.8750
0.3623 0.1015 0.6250
0.2538 0.0010 0.7668
0.2516 0.2020 0.4834
0.7516 0.7020 0.0166
0.2484 0.2020 0.9834
0.7484 0.7020 0.5166
0.7538 0.5010 0.7332
0.7462 0.5010 0.2332
0.2462 0.0010 0.2668
0.7426 0.5476 0.4845
0.8294 0.1014 0.1248
0.4978 0.2410 0.9370
0.5046 0.4626 0.6865
0.7426 0.7617 0.4168
0.0022 0.2410 0.4370
0.0046 0.9626 0.8135
0.2426 0.0476 0.0155
0.9924 0.7442 0.0675
0.9978 0.7410 0.5630
0.9950 0.4581 0.6828
0.7577 0.4413 0.8330
0.2423 0.9413 0.1670
0.7574 0.5476 0.9845
0.2577 0.9413 0.6670
0.1706 0.6014 0.8752
0.5050 0.4581 0.1828
0.7423 0.4413 0.3330
0.2399 0.1554 0.2348
0.3294 0.6014 0.3752
0.0076 0.2442 0.9325
0.9954 0.4626 0.1865
0.2574 0.0476 0.5155
0.7399 0.6554 0.2652
0.6706 0.1014 0.6248
0.2574 0.2617 0.5832
0.7574 0.7617 0.9168
0.4954 0.9626 0.3135
0.4950 0.9581 0.8172
0.2601 0.1554 0.7348
0.5076 0.7442 0.5675
0.7601 0.6554 0.7652
0.2426 0.2617 0.0832
0.5022 0.7410 0.0630
0.4924 0.2442 0.4325
0.0050 0.9581 0.3172



Entry 7:
K3Ag3HgCl8, optimized geometry, DFT PBE; space group = C2/m; crystal system = monoclinic; ΔE_f (raw) = -15.853 eV per formula unit
1.0
-0.8430 7.9225 -1.8454
-5.9726 -5.3961 -2.3166
0.8114 1.9950 8.1940
K Ag Hg Cl
3 3 1 8
direct
0.0000 0.0000 0.0000
0.0000 0.5000 0.0000
0.5000 0.5000 0.0000
0.5000 0.0000 0.5000
0.5000 0.5000 0.5000
0.0000 0.5000 0.5000
0.0000 0.0000 0.5000
0.2567 0.5134 0.2855
0.7433 0.4866 0.7145
0.7683 0.5366 0.2971
0.2317 0.4634 0.7029
0.7626 0.0122 0.2894
0.2374 0.9878 0.7106
0.2496 0.0122 0.2894
0.7504 0.9878 0.7106



Entry 8:
Th2MnGa3Ir4, optimized geometry, DFT PBE; space group = P-4m2; energy relative to the elements = -0.665 eV/atom; crystal system = tetragonal
1.0
-3.9626 -0.8067 1.1158
1.3533 -2.9077 2.7041
0.6446 7.4137 7.6495
Th Mn Ga Ir
2 1 3 4
direct
0.5000 0.0000 0.2405
0.0000 0.5000 0.7595
0.5000 0.5000 0.5000
0.0000 0.0000 0.5000
0.5000 0.0000 0.8739
0.0000 0.5000 0.1261
0.5000 0.5000 0.0000
0.0000 0.0000 0.0000
0.5000 0.0000 0.6416
0.0000 0.5000 0.3584



Entry 9:
H4RhN2, optimized geometry, DFT PBE; space group = I4/mmm; energy = -0.313 Ry per atom; crystal system = tetragonal
1.0
3.2500 0.0000 0.0000
0.0000 3.2500 0.0000
1.6250 1.6250 5.4531
H Rh N
4 1 2
direct
0.7071 0.7071 0.5857
0.2929 0.2929 0.4143
0.0000 0.5000 0.0000
0.5000 0.0000 0.0000
0.0000 0.0000 0.0000
0.6106 0.6106 0.7788
0.3894 0.3894 0.2212



Entry 10:
YRhCl, optimized geometry, DFT PBE; space group = Fmm2; crystal system = orthorhombic; ΔE_f (raw) = -2.425 eV per formula unit
1.0
6.6198 0.0375 -0.0383
5.7917 3.2024 0.0342
0.8282 0.1364 3.1628
Cl Rh Y
1 1 1
direct
0.0239 0.0239 0.9761
0.3057 0.3057 0.6943
0.6704 0.6704 0.3296



Entry 11:
PmSmHo2Er4, optimized geometry, DFT PBE; space group = C2/c; energy relative to the elements = 0.439 eV/atom; crystal system = monoclinic
1.0
0.0235 9.0080 -2.9110
-8.7636 -0.8698 -3.4732
4.3409 -4.4280 9.9529
Pm Sm Ho Er
2 2 4 8
direct
0.0000 0.5000 0.0000
0.0000 0.5000 0.5000
0.5000 0.5000 0.5000
0.0000 0.0000 0.0000
0.5000 0.0000 0.0000
0.5000 0.0000 0.5000
0.0000 0.0000 0.5000
0.5000 0.5000 0.0000
0.2534 0.7489 0.0010
0.7511 0.2466 0.4990
0.2489 0.7534 0.5010
0.7466 0.2511 0.9990
0.7466 0.7501 0.0008
0.7499 0.7534 0.4992
0.2501 0.2466 0.5008
0.2534 0.2499 0.9992



Entry 12:
YTa2Ga2, optimized geometry, DFT PBE; polymorph energy (0 for the lowest one) = 4.69 kcal/mol of atoms; space group = P4/mbm; energy relative to the elements = -0.119 eV/atom; crystal system = tetragonal
1.0
7.3857 0.0000 0.0000
0.0000 7.3857 0.0000
0.0000 0.0000 3.4595
Y Ga Ta
2 4 4
direct
0.0000 0.0000 0.0000
0.5000 0.5000 0.0000
0.3777 0.8777 0.0000
0.8777 0.6223 0.0000
0.6223 0.1223 0.0000
0.1223 0.3777 0.0000
0.1729 0.6729 0.5000
0.6729 0.8271 0.5000
0.8271 0.3271 0.5000
0.3271 0.1729 0.5000



Entry 13:
BaTbTlCd, optimized geometry, DFT PBE; space group = F-43m; energy relative to the elements = -0.236 eV/atom; crystal system = cubic
1.0
5.7032 0.0000 0.0000
2.8516 4.9391 0.0000
2.8516 1.6464 4.6567
Tl Tb Ba Cd
1 1 1 1
direct
0.7500 0.7500 0.7500
0.5000 0.5000 0.5000
0.0000 0.0000 0.0000
0.2500 0.2500 0.2500



Entry 14:
CrCuRu2, optimized geometry, DFT PBE; space group = F-43m; energy relative to the elements = 0.390 eV/atom; crystal system = cubic
1.0
-2.6951 -2.8471 1.6510
1.4775 -3.1793 2.4092
-0.7628 -0.0291 4.1848
Cr Cu Ru
1 1 2
direct
0.5000 0.5000 0.5000
0.7500 0.7500 0.7500
0.0000 0.0000 0.0000
0.2500 0.2500 0.2500



Entry 15:
Rb2PuTiCl6, optimized geometry, DFT PBE; space group = Fm-3m; crystal system = cubic; ΔE_f (raw) = -17.172 eV per formula unit
1.0
7.5012 0.0000 0.0000
0.0000 7.4973 0.0000
0.0000 0.0000 10.6048
Rb Pu Ti Cl
4 2 2 12
direct
0.5000 0.7497 0.2504
0.0000 0.2503 0.7504
0.5000 0.7497 0.7496
0.0000 0.2503 0.2496
0.0000 0.7499 0.5000
0.5000 0.2501 0.0000
0.5000 0.2497 0.5000
0.0000 0.7503 0.0000
0.5000 0.2498 0.2614
0.5000 0.2498 0.7386
0.0000 0.7502 0.2386
0.0000 0.7502 0.7614
0.2615 0.0111 0.5000
0.7385 0.0111 0.5000
0.2613 0.4883 0.5000
0.7387 0.4883 0.5000
0.7613 0.5117 0.0000
0.2387 0.5117 0.0000
0.2385 0.9889 0.0000
0.7615 0.9889 0.0000



Entry 16:
La3Ga4Co2, optimized geometry, DFT PBE; polymorph energy (0 for the lowest one) = 2.55 kcal/mol of atoms; space group = C2/c; energy relative to the elements = -0.379 eV/atom; crystal system = monoclinic
1.0
-3.8336 0.2265 -5.6026
-7.2280 -2.7011 2.5655
-4.0044 7.0370 0.7534
La Ga Co
6 8 4
direct
0.8523 0.0034 0.2714
0.6477 0.7286 0.9966
0.1477 0.9966 0.7286
0.3523 0.2714 0.0034
0.2500 0.5484 0.4516
0.7500 0.4516 0.5484
0.3688 0.9240 0.3289
0.1312 0.6711 0.0760
0.6312 0.0760 0.6711
0.8688 0.3289 0.9240
0.1306 0.2228 0.3765
0.3694 0.6235 0.7772
0.8694 0.7772 0.6235
0.6306 0.3765 0.2228
0.4876 0.1555 0.4156
0.0124 0.5844 0.8445
0.5124 0.8445 0.5844
0.9876 0.4156 0.1555



Entry 17:
AlSN2O, optimized geometry, DFT PBE; space group = P4/mmm; crystal system = tetragonal; ΔE_f (raw) = 3.955 eV per formula unit
1.0
3.9310 0.0000 0.0000
0.0000 3.9310 0.0000
0.0000 0.0000 3.5269
S Al O N
1 1 1 2
direct
0.5000 0.5000 0.5000
0.0000 0.0000 0.0000
0.0000 0.0000 0.5000
0.0000 0.5000 0.0000
0.5000 0.0000 0.0000



Entry 18:
Er3TeC2, optimized geometry, DFT PBE; space group = P2_1/m; crystal system = monoclinic; ΔE_f (raw) = -3.039 eV per formula unit
1.0
-1.7308 2.5673 1.7988
-1.7174 -4.2452 4.4065
8.5668 1.0818 6.6993
Er Te C
6 2 4
direct
0.7500 0.0633 0.1254
0.2500 0.9367 0.8746
0.7500 0.4615 0.8745
0.2500 0.5385 0.1255
0.2500 0.2652 0.3963
0.7500 0.7348 0.6037
0.2500 0.7871 0.3612
0.7500 0.2129 0.6388
0.2500 0.2429 0.9961
0.7500 0.7571 0.0039
0.7500 0.3295 0.2591
0.2500 0.6705 0.7409



Entry 19:
NaTc2RhO8, optimized geometry, DFT PBE; space group = P-3; crystal system = trigonal; ΔE_f (raw) = -15.035 eV per formula unit
1.0
5.8017 0.0000 0.0000
-2.9008 5.0244 0.0000
0.0000 0.0000 6.5966
Na Tc Rh O
1 2 1 8
direct
0.0000 0.0000 0.0000
0.6667 0.3333 0.2151
0.3333 0.6667 0.7849
0.0000 0.0000 0.5000
0.3333 0.6667 0.0476
0.3303 0.1710 0.2983
0.8290 0.1593 0.2983
0.6667 0.3333 0.9524
0.1710 0.8407 0.7017
0.6697 0.8290 0.7017
0.1593 0.3303 0.7017
0.8407 0.6697 0.2983